{"formula": "MgZrRh2", "functional": "GGA-PBE", "state": "relaxed", "lattice": [[-3.4884, 3.4884, 2.9932], [3.4884, -3.4884, 2.9932], [3.4884, 3.4884, -2.9932]], "species": ["Mg", "Mg", "Zr", "Zr", "Rh", "Rh", "Rh", "Rh"], "fractional_positions": [[0.0000, 0.0000, 0.0000], [0.7500, 0.2500, 0.5000], [0.2500, 0.7500, 0.5000], [0.5000, 0.5000, 0.0000], [0.1298, 0.6250, 0.0048], [0.3750, 0.3798, 0.5048], [0.6202, 0.1250, 0.9952], [0.8750, 0.8702, 0.4952]], "ef_kcal_per_mol_atoms": -6.2, "spacegroup": "I-42d", "total_energy_ev_per_cell": -51.9}

{"formula": "ErInTe2O8", "functional": "GGA-PBE", "state": "relaxed", "lattice": [[-3.5893, 3.5893, 3.4646], [3.5893, -3.5893, 3.4646], [3.5893, 3.5893, -3.4646]], "species": ["Er", "In", "Te", "Te", "O", "O", "O", "O", "O", "O", "O", "O"], "fractional_positions": [[0.0000, 0.0000, 0.0000], [0.7500, 0.2500, 0.5000], [0.2500, 0.7500, 0.5000], [0.5000, 0.5000, 0.0000], [0.0613, 0.3744, 0.3131], [0.0613, 0.7482, 0.6869], [0.0953, 0.2888, 0.8065], [0.2518, 0.9387, 0.3131], [0.4823, 0.2888, 0.1935], [0.6256, 0.9387, 0.6869], [0.7112, 0.5177, 0.8065], [0.7112, 0.9047, 0.1935]], "spacegroup": "I-4m2", "total_energy_ev_per_cell": -70.8}

{"formula": "LaTbPr2Sm2", "functional": "GGA-PBE", "state": "relaxed", "lattice": [[5.8114, 0.0000, 0.0000], [0.0000, 10.0378, 0.0000], [0.0000, 0.0000, 7.1510]], "species": ["La", "La", "Tb", "Tb", "Pr", "Pr", "Pr", "Pr", "Sm", "Sm", "Sm", "Sm"], "fractional_positions": [[0.0000, 0.9996, 0.0000], [0.0000, 0.0004, 0.5000], [0.5000, 0.1653, 0.2499], [0.5000, 0.8347, 0.7499], [0.0000, 0.3312, 0.7501], [0.0000, 0.6688, 0.2501], [0.5000, 0.5003, 0.9999], [0.5000, 0.4997, 0.4999], [0.0000, 0.3341, 0.2496], [0.0000, 0.6659, 0.7496], [0.5000, 0.1685, 0.7502], [0.5000, 0.8315, 0.2502]], "ef_kcal_per_mol_atoms": 1.2, "spacegroup": "Pmc2_1", "total_energy_ev_per_cell": -56.5}

| no. | DOS(E_F) (states/eV per cell) | density (g cm⁻³) | total magnetization (μB per atom) |
| --- | --- | --- | --- |
| 1 | 1.48 | 7.32 | 0.00 |
| 2 | 0.47 | 6.19 | 0.00 |
| 3 | 17.76 | 7.01 | 0.00 |